Entry from Alexandria: a relaxed BaMnSeO2 crystal (GGA+U).

Lattice parameters (Å, degrees): 7.932 7.932 5.549 90.00 90.00 136.63
Atoms (fractional coordinates):
Ba 0.112 0.888 0.750
Ba 0.888 0.112 0.250
Mn 0.490 0.510 0.750
Mn 0.510 0.490 0.250
Se 0.258 0.742 0.250
Se 0.742 0.258 0.750
O 0.278 0.278 0.000
O 0.278 0.278 0.500
O 0.722 0.722 0.000
O 0.722 0.722 0.500

Calculated values
**Total magnetic moment**: 0.828 μB/atom
**Energy**: -61.6 eV per cell
**Symmetry**: Cmcm